This record from Alexandria via LeMat-Bulk describes Al2HgPb after structural relaxation. The functional is PBE-GGA.

Values from the calculation:
Total magnetic moment = 0.000 μB per atom
VASP energy = -10.400 eV per formula unit
Energy of formation from the pure elements = 0.274 eV/atom
Volume = 23.60 A^3/atom
ΔE to the lowest computed polymorph = 0.128 eV per atom

```
Al2HgPb
1.0
0.0104 -0.0466 3.2295
-1.0757 -2.6216 -1.5497
9.4963 -3.8456 -0.0860
Pb Al Hg
1 2 1
Cartesian
6.5896 -4.2183 0.7754
0.1594 -0.0646 -0.0014
4.5887 -1.8583 -0.0416
1.8414 -2.2955 0.8184
```

=====

This record from Alexandria via LeMat-Bulk describes Ac2LaPb after structural relaxation. The functional is PBE-GGA.

Values from the calculation:
Total magnetic moment = 0.000 μB per atom
VASP energy = -17.736 eV per formula unit
Energy of formation from the pure elements = -0.221 eV/atom
Volume = 38.06 A^3/atom
ΔE to the lowest computed polymorph = 0.070 eV per atom

```
Ac2LaPb
1.0
-1.2833 -0.3876 4.3164
2.3595 -3.8385 0.3568
5.9943 3.8827 2.1308
Ac La Pb
2 1 1
Cartesian
4.6098 2.9859 1.6387
1.3845 0.8968 0.4922
3.5352 -0.1717 3.4020
0.5381 -2.1131 2.3366
```

=====

This record from Alexandria via LeMat-Bulk describes MnCuSn after structural relaxation. The functional is PBE-GGA.

Values from the calculation:
Total magnetic moment = 1.000 μB per atom
VASP energy = -16.886 eV per formula unit
Energy of formation from the pure elements = 0.127 eV/atom
Volume = 16.66 A^3/atom

```
MnCuSn
1.0
-0.0712 -0.7604 -3.8211
-2.1279 -3.2815 0.6927
-5.4511 3.4129 -0.5777
Mn Cu Sn
2 2 2
Cartesian
-4.3863 0.4393 -0.0057
-2.9046 -0.8908 -1.7555
-1.7992 1.1265 -0.1907
-0.3762 -0.1669 -1.9467
-3.5301 1.8076 -2.2809
-1.2285 -1.5377 0.3289
```